[1]
Below is an optimized crystal structure of NaTlBiCl5, with properties calculated at the PBE level.

```
NaTlBiCl5
1.0
4.388 -6.559 0.000
4.388 6.559 0.000
-3.605 0.000 9.550
Na Tl Bi Cl
2 2 2 10
Cartesian
1.684 4.095 7.162
3.487 -4.095 2.387
3.487 4.723 2.387
1.684 -4.723 7.162
4.388 0.000 0.000
2.586 0.000 4.775
0.006 0.729 4.253
0.139 2.459 8.589
-1.797 -0.729 9.027
3.487 1.066 2.387
3.230 2.459 5.736
1.942 -2.459 3.814
1.684 -1.066 7.162
6.968 0.729 0.522
5.032 -2.459 0.961
5.166 -0.729 5.297
```

Calculated values
Space group ... C2/c
Uncorrected energy ... -52.7 eV for the cell shown
Spin magnetization ... 0.0 μB/f.u.
Formation energy without anion corrections ... -1195 meV/atom
N(E_F) ... 0.000 states/eV/f.u.
Crystal system ... monoclinic

***

[2]
Below is an optimized crystal structure of NaZnBiCl2, with properties calculated at the PBE level.

```
NaZnBiCl2
1.0
4.918 0.000 0.000
0.000 4.918 0.000
0.000 0.000 5.661
Na Zn Bi Cl
1 1 1 2
Cartesian
0.000 0.000 0.000
0.000 0.000 2.830
2.459 2.459 2.830
0.000 2.459 0.000
2.459 0.000 0.000
```

Calculated values
Space group ... P4/mmm
Uncorrected energy ... -11.4 eV for the cell shown
Spin magnetization ... 0.0 μB/f.u.
Formation energy without anion corrections ... -247 meV/atom
N(E_F) ... 3.118 states/eV/f.u.
Crystal system ... tetragonal

***

> spin magnetization of number 2 (NaZnBiCl2)?

0.0 μB/f.u.